## CeNd3Ga2 (PBE)

Data for an optimized crystal structure of CeNd3Ga2.

Values from the calculation:
formation enthalpy at 0 K	-0.29	eV per atom
energy	-4.67	eV per atom

Lattice parameters (Å, degrees): 4.864 15.707 4.236 90.00 90.00 90.00
Space group Cmmm (No. 65)
One atom of each set of equivalent atoms:
Ce 0.000 0.000 0.000 (multiplicity 2)
Nd 0.000 0.180 0.500 (multiplicity 4)
Nd 0.000 0.500 0.500 (multiplicity 2)
Ga 0.000 0.351 0.000 (multiplicity 4)